No. 1
# Mg8ZnRh2 PBE-GGA relaxed
# uncorrected energy = -63.5 eV per cell
# total moment = 0.00 Bohr magnetons per cell
# energy relative to the elements = -0.273 eV/atom
# DOS(E_F) = 5.58 states/eV/cell
data_Mg8ZnRh2
_space_group_name_H-M_alt 'C 1 2/m 1'
_space_group_IT_number 12
_space_group_name_Hall '-C 2y'
_cell_length_a 14.626
_cell_length_b 4.450
_cell_length_c 6.788
_cell_angle_alpha 90.00
_cell_angle_beta 112.02
_cell_angle_gamma 90.00
loop_
_atom_site_label
_atom_site_type_symbol
_atom_site_fract_x
_atom_site_fract_y
_atom_site_fract_z
Mg1 Mg 0.036 0.000 0.235
Mg2 Mg 0.119 0.500 0.956
Mg3 Mg 0.166 0.000 0.734
Mg4 Mg 0.177 0.500 0.422
Zn1 Zn 0.000 0.500 0.500
Rh1 Rh 0.207 0.000 0.159



No. 2
# MgZn3Rh PBE-GGA relaxed
# uncorrected energy = -12.1 eV per cell
# E above lowest polymorph = 0.397 eV per atom
# total moment = 0.00 Bohr magnetons per cell
# energy relative to the elements = 0.142 eV/atom
# DOS(E_F) = 2.34 states/eV/cell
data_MgZn3Rh
_space_group_name_H-M_alt 'P m -3 m'
_space_group_IT_number 221
_space_group_name_Hall '-P 4 2 3'
_cell_length_a 4.781
_cell_length_b 4.781
_cell_length_c 4.781
_cell_angle_alpha 90.00
_cell_angle_beta 90.00
_cell_angle_gamma 90.00
loop_
_atom_site_label
_atom_site_type_symbol
_atom_site_fract_x
_atom_site_fract_y
_atom_site_fract_z
Mg1 Mg 0.000 0.000 0.000
Zn1 Zn 0.000 0.500 0.500
Rh1 Rh 0.500 0.500 0.500



Q: Look up the uncorrected energy of the second one.
A: -12.1 eV per cell



Q: Which of these has the highest energy relative to the elements?
A: MgZn3Rh